Model w:
# HRh2F

A relaxed HRh2F crystal (PBE-GGA, Alexandria).

## Properties
Volume: 177.0 Å³/cell
Magnetic moment: 2.50 μB per formula unit

Cell: 5.6151 5.6151 5.6151 Å, 90.00 90.00 90.00°
Last column: nearest neighbours and their distance in Å.
Space group Fm-3m (No. 225)
One atom of each set of equivalent atoms:
H: 0.0000 0.0000 0.0000 x4  8 Rh 2.43
Rh: 0.2500 0.2500 0.2500 x8  4 F 2.43, 4 H 2.43
F: 0.0000 0.0000 0.5000 x4  8 Rh 2.43

Model x:
# HRh2F

A relaxed HRh2F crystal (PBE-GGA, Alexandria).

## Properties
Volume: 189.3 Å³/cell
Magnetic moment: 1.90 μB per formula unit

Cell: 4.7331 4.7331 8.4485 Å, 90.00 90.00 90.00°
Last column: nearest neighbours and their distance in Å.
Space group I-42d (No. 122)
One atom of each set of equivalent atoms:
H: 0.0000 0.0000 0.0000 x4  4 Rh 1.76
Rh: 0.1604 0.2500 0.1250 x8  2 H 1.76
F: 0.0000 0.0000 0.5000 x4  4 Rh 2.26

Ranked by calculated energy, most stable first: model x, model w.

Model w:
# H2RhF

A relaxed H2RhF crystal (PBE-GGA, Alexandria).

## Properties
Volume: 137.5 Å³/cell
Magnetic moment: 0.31 μB per formula unit

Cell: 4.4976 4.4976 6.7980 Å, 90.00 90.00 90.00°
Last column: nearest neighbours and their distance in Å.
Space group I-42d (No. 122)
One atom of each set of equivalent atoms:
H: 0.2095 0.2500 0.1250 x8  2 Rh 1.70
Rh: 0.0000 0.0000 0.0000 x4  4 H 1.70
F: 0.0000 0.0000 0.5000 x4  4 H 1.92

Model x:
# H2RhF

A relaxed H2RhF crystal (PBE-GGA, Alexandria).

## Properties
Volume: 120.0 Å³/cell
Magnetic moment: 1.02 μB per formula unit

Cell: 4.9328 4.9328 4.9328 Å, 90.00 90.00 90.00°
Last column: nearest neighbours and their distance in Å.
Space group Fm-3m (No. 225)
One atom of each set of equivalent atoms:
H: 0.2500 0.2500 0.2500 x8  4 F 2.14, 4 Rh 2.14
Rh: 0.0000 0.0000 0.0000 x4  8 H 2.14
F: 0.0000 0.0000 0.5000 x4  8 H 2.14

Ranked by calculated energy, most stable first: model w, model x.

Model w:
# HRu2F

A relaxed HRu2F crystal (PBE-GGA, Alexandria).

## Properties
Volume: 171.6 Å³/cell
Magnetic moment: 2.17 μB per formula unit

Cell: 5.5572 5.5572 5.5572 Å, 90.00 90.00 90.00°
Last column: nearest neighbours and their distance in Å.
Space group Fm-3m (No. 225)
One atom of each set of equivalent atoms:
H: 0.0000 0.0000 0.0000 x4  8 Ru 2.41
Ru: 0.2500 0.2500 0.2500 x8  4 F 2.41, 4 H 2.41
F: 0.0000 0.0000 0.5000 x4  8 Ru 2.41

Model x:
# HRu2F

A relaxed HRu2F crystal (PBE-GGA, Alexandria).

## Properties
Volume: 179.4 Å³/cell
Magnetic moment: 0.00 μB per formula unit

Cell: 4.6586 4.6586 8.2657 Å, 90.00 90.00 90.00°
Last column: nearest neighbours and their distance in Å.
Space group I-42d (No. 122)
One atom of each set of equivalent atoms:
H: 0.0000 0.0000 0.0000 x4  4 Ru 1.72
Ru: 0.1554 0.2500 0.1250 x8  2 H 1.72
F: 0.0000 0.0000 0.5000 x4  4 Ru 2.24

Ranked by calculated energy, most stable first: model x, model w.